No. 1
La6Ga2Au | GGA-PBE | relaxed

The formation energy comes out at -417 meV/atom. Its total magnetization is 0.0 μB per cell. As for the density of states at the Fermi level: 1.17 states/eV per atom. The uncorrected energy is -4.739 eV per atom.

The space group is Immm (No. 71) and the conventional cell measures 10.100, 10.287 and 10.715 Å, with angles of 90.00, 90.00 and 90.00 degrees. Symmetry generates all atoms from La at (0.000, 0.208, 0.170), La at (0.172, 0.235, 0.500), La at (0.192, 0.500, 0.241), Ga at (0.000, 0.000, 0.379), Ga at (0.142, 0.000, 0.000), Au at (0.000, 0.500, 0.000) and Au at (0.000, 0.500, 0.500).



No. 2
LaGaAu | GGA-PBE | relaxed

The formation energy comes out at -610 meV/atom. Its total magnetization is 0.0 μB per cell. As for the density of states at the Fermi level: 1.77 states/eV per atom. The uncorrected energy is -4.354 eV per atom.

The space group is F-43m (No. 216) and the conventional cell measures 6.861, 6.861 and 6.861 Å, with angles of 90.00, 90.00 and 90.00 degrees. Symmetry generates all atoms from La at (0.000, 0.000, 0.000), Ga at (0.000, 0.000, 0.500) and Au at (0.250, 0.250, 0.250).



No. 3
La2GaAu2 | GGA-PBE | relaxed

The formation energy comes out at -502 meV/atom. Its total magnetization is 0.0 μB per cell. As for the density of states at the Fermi level: 0.66 states/eV per atom. The uncorrected energy is -4.389 eV per atom.

The space group is I4/mmm (No. 139) and the conventional cell measures 3.904, 3.904 and 17.497 Å, with angles of 90.00, 90.00 and 90.00 degrees. Symmetry generates all atoms from La at (0.000, 0.000, 0.104), Ga at (0.000, 0.000, 0.500) and Au at (0.000, 0.500, 0.250).



No. 4
LaGa2Au4 | GGA-PBE | relaxed

The calculation puts the energy above the lowest structure with this stoichiometry at 0.0 kJ/mol of atoms. The formation energy comes out at -524 meV/atom. Its total magnetization is 0.0 μB per cell. As for the density of states at the Fermi level: 0.41 states/eV per atom. The uncorrected energy is -3.965 eV per atom.

The space group is Pnma (No. 62) and the conventional cell measures 17.961, 4.611 and 6.906 Å, with angles of 90.00, 90.00 and 90.00 degrees. Symmetry generates all atoms from La at (0.133, 0.250, 0.006), Ga at (0.036, 0.750, 0.240), Ga at (0.226, 0.250, 0.528), Au at (0.035, 0.750, 0.785), Au at (0.081, 0.250, 0.516), Au at (0.177, 0.750, 0.315) and Au at (0.194, 0.750, 0.723).



No. 5
La4GaAu | GGA-PBE | relaxed

The calculation puts the energy above the lowest structure with this stoichiometry at 10.4 kJ/mol of atoms. The formation energy comes out at -318 meV/atom. Its total magnetization is 0.0 μB per cell. As for the density of states at the Fermi level: 1.71 states/eV per atom. The uncorrected energy is -4.653 eV per atom.

The space group is P2_1/c (No. 14) and the conventional cell measures 7.545, 7.435 and 7.462 Å, with angles of 90.00, 90.18 and 90.00 degrees. Symmetry generates all atoms from La at (0.157, 0.155, 0.158), La at (0.342, 0.658, 0.156), Ga at (0.500, 0.000, 0.000) and Au at (0.000, 0.000, 0.500).



No. 6
LaGa2Au3 | GGA-PBE | relaxed

The formation energy comes out at -555 meV/atom. Its total magnetization is 0.0 μB per cell. As for the density of states at the Fermi level: 0.48 states/eV per atom. The uncorrected energy is -4.024 eV per atom.

The space group is C2/m (No. 12) and the conventional cell measures 16.822, 4.504 and 7.427 Å, with angles of 90.00, 115.23 and 90.00 degrees. Symmetry generates all atoms from La at (0.148, 0.000, 0.215), Ga at (0.010, 0.500, 0.840), Ga at (0.197, 0.000, 0.700), Au at (0.039, 0.000, 0.710), Au at (0.125, 0.500, 0.506) and Au at (0.181, 0.500, 0.936).



No. 7
LaGa4Au8 | GGA-PBE | relaxed

The formation energy comes out at -321 meV/atom. Its total magnetization is 0.0 μB per cell. As for the density of states at the Fermi level: 0.43 states/eV per atom. The uncorrected energy is -3.648 eV per atom.

The space group is I4/mmm (No. 139) and the conventional cell measures 9.454, 9.454 and 5.470 Å, with angles of 90.00, 90.00 and 90.00 degrees. Symmetry generates all atoms from La at (0.000, 0.000, 0.000), Ga at (0.250, 0.250, 0.250), Au at (0.000, 0.216, 0.500) and Au at (0.000, 0.339, 0.000).



No. 8
LaGaAu | GGA-PBE | relaxed

The formation energy comes out at -829 meV/atom. Its total magnetization is 0.0 μB per cell. As for the density of states at the Fermi level: 0.44 states/eV per atom. The uncorrected energy is -4.573 eV per atom.

The space group is Imm2 (No. 44) and the conventional cell measures 4.688, 7.540 and 7.975 Å, with angles of 90.00, 90.00 and 90.00 degrees. Symmetry generates all atoms from La at (0.000, 0.000, 0.000), La at (0.000, 0.500, 0.058), Ga at (0.000, 0.310, 0.698) and Au at (0.000, 0.224, 0.365).